1.
Compound: CaPbSe2
Source: the Alexandria database
Functional: meta-GGA SCAN
Structure: PBEsol geometry

The uncorrected formation energy comes out at -5.7 eV/f.u. The magnetic moment comes out at 0.00 μB per formula unit. The value obtained for the total energy is -131.3 eV per formula unit.

Cell lengths 4.242, 4.242, 6.004 Å; angles 90.00, 90.00, 90.00 degrees
Space group P4/mmm (No. 123)
One atom of each set of equivalent atoms:
Ca  0.000  0.000  0.000
Pb  0.500  0.500  0.500
Se  0.000  0.000  0.500
Se  0.500  0.500  0.000

2.
Compound: TaSb3Ir
Source: the Alexandria database
Functional: meta-GGA SCAN
Structure: PBEsol geometry

The uncorrected formation energy comes out at 5.9 eV/f.u. The magnetic moment comes out at 2.78 μB per formula unit. The value obtained for the total energy is -243.5 eV per formula unit.

Cell lengths 5.045, 5.045, 5.045 Å; angles 90.00, 90.00, 90.00 degrees
Space group Pm-3m (No. 221)
One atom of each set of equivalent atoms:
Ta  0.000  0.000  0.000
Sb  0.000  0.500  0.500
Ir  0.500  0.500  0.500

3.
Compound: YSc3
Source: the Alexandria database
Functional: meta-GGA SCAN
Structure: PBEsol geometry

For the formation energy, the calculation gives 0.150 eV per atom. The magnetic moment comes out at 2.33 μB per formula unit. The value obtained for the total energy is -70.0 eV per formula unit.

Cell lengths 10.4956, 10.4956, 3.2070 Å; angles 90.00, 90.00, 120.00 degrees
Space group R-3m (No. 166, hexagonal axes)
One atom of each set of equivalent atoms:
Y  0.0000  0.0000  0.0000
Sc  0.0000  0.5000  0.0000

4.
Compound: ZrTaCr2
Source: the Alexandria database
Functional: meta-GGA SCAN
Structure: PBEsol geometry

For the formation energy, the calculation gives 0.092 eV per atom. The magnetic moment comes out at 2.56 μB per formula unit. The value obtained for the total energy is -133.7 eV per formula unit.

Cell lengths 4.423, 4.423, 3.109 Å; angles 90.00, 90.00, 90.00 degrees
Space group P4/mmm (No. 123)
One atom of each set of equivalent atoms:
Zr  0.000  0.000  0.000
Ta  0.500  0.500  0.000
Cr  0.000  0.500  0.500

5.
Compound: Ho2TeO6
Source: the Alexandria database
Functional: meta-GGA SCAN
Structure: PBEsol geometry

The uncorrected formation energy comes out at -25.4 eV/f.u. The magnetic moment comes out at 0.00 μB per formula unit. The value obtained for the total energy is -198.0 eV per formula unit.

Cell lengths 8.9883, 8.9883, 5.1531 Å; angles 90.00, 90.00, 120.00 degrees
Space group P321 (No. 150)
One atom of each set of equivalent atoms:
Ho  0.0000  0.2800  0.0000
Ho  0.0000  0.6170  0.5000
Te  0.0000  0.0000  0.5000
Te  0.3333  0.6667  0.9941
O  0.0753  0.8739  0.2861
O  0.1310  0.5431  0.2089
O  0.2280  0.7654  0.7770

6.
Compound: MnZn2Os
Source: the Alexandria database
Functional: meta-GGA SCAN
Structure: PBEsol geometry

For the formation energy, the calculation gives 0.041 eV per atom. The magnetic moment comes out at 3.16 μB per formula unit. The value obtained for the total energy is -117.0 eV per formula unit.

Cell lengths 3.820, 3.820, 7.097 Å; angles 90.00, 90.00, 90.00 degrees
Space group I-4m2 (No. 119)
One atom of each set of equivalent atoms:
Mn  0.000  0.000  0.000
Zn  0.000  0.000  0.500
Zn  0.000  0.500  0.750
Os  0.000  0.500  0.250

7.
Compound: TaFe3Si
Source: the Alexandria database
Functional: meta-GGA SCAN
Structure: PBEsol geometry

The uncorrected formation energy comes out at 8.8 eV/f.u. The magnetic moment comes out at 5.68 μB per formula unit. The value obtained for the total energy is -122.1 eV per formula unit.

Cell lengths 4.437, 4.437, 4.437 Å; angles 90.00, 90.00, 90.00 degrees
Space group Pm-3m (No. 221)
One atom of each set of equivalent atoms:
Ta  0.000  0.000  0.000
Fe  0.000  0.000  0.500
Si  0.500  0.500  0.500

8.
Compound: CuRh2
Source: the Alexandria database
Functional: meta-GGA SCAN
Structure: PBEsol geometry

For the formation energy, the calculation gives 0.076 eV per atom. The magnetic moment comes out at 0.00 μB per formula unit. The value obtained for the total energy is -82.5 eV per formula unit.

Cell lengths 3.707, 11.255, 3.711 Å; angles 90.00, 90.00, 90.00 degrees
Space group Cmcm (No. 63)
One atom of each set of equivalent atoms:
Cu  0.000  0.080  0.250
Rh  0.000  0.246  0.750
Rh  0.000  0.416  0.250

9.
Compound: CdFeW2
Source: the Alexandria database
Functional: meta-GGA SCAN
Structure: PBEsol geometry

For the formation energy, the calculation gives 0.539 eV per atom. The magnetic moment comes out at 2.07 μB per formula unit. The value obtained for the total energy is -185.8 eV per formula unit.

Cell lengths 3.215, 3.215, 6.028 Å; angles 90.00, 90.00, 90.00 degrees
Space group P4/mmm (No. 123)
One atom of each set of equivalent atoms:
Cd  0.000  0.000  0.000
Fe  0.000  0.000  0.500
W  0.500  0.500  0.299

10.
Compound: NbPtCl2
Source: the Alexandria database
Functional: meta-GGA SCAN
Structure: PBEsol geometry

The uncorrected formation energy comes out at -0.6 eV/f.u. The magnetic moment comes out at 0.94 μB per formula unit. The value obtained for the total energy is -119.9 eV per formula unit.

Cell lengths 8.662, 8.662, 4.952 Å; angles 90.00, 90.00, 90.00 degrees
Space group I-42d (No. 122)
One atom of each set of equivalent atoms:
Nb  0.000  0.000  0.000
Pt  0.000  0.000  0.500
Cl  0.111  0.250  0.125

11.
Compound: CuCl3F
Source: the Alexandria database
Functional: meta-GGA SCAN
Structure: PBEsol geometry

The uncorrected formation energy comes out at 2.8 eV/f.u. The magnetic moment comes out at 0.31 μB per formula unit. The value obtained for the total energy is -39.8 eV per formula unit.

Cell lengths 4.519, 4.519, 4.519 Å; angles 90.00, 90.00, 90.00 degrees
Space group Pm-3m (No. 221)
One atom of each set of equivalent atoms:
Cu  0.000  0.000  0.000
Cl  0.000  0.500  0.500
F  0.500  0.500  0.500

12.
Compound: Hf2Si2Au
Source: the Alexandria database
Functional: meta-GGA SCAN
Structure: PBEsol geometry

The uncorrected formation energy comes out at -3.5 eV/f.u. The magnetic moment comes out at 0.00 μB per formula unit. The value obtained for the total energy is -218.0 eV per formula unit.

Cell lengths 6.567, 6.567, 3.831 Å; angles 90.00, 90.00, 90.00 degrees
Space group P4/mbm (No. 127)
One atom of each set of equivalent atoms:
Hf  0.175  0.325  0.000
Si  0.125  0.625  0.500
Au  0.000  0.000  0.500

13.
Compound: ZnTe2PtSe
Source: the Alexandria database
Functional: meta-GGA SCAN
Structure: PBEsol geometry

The uncorrected formation energy comes out at 1.2 eV/f.u. The magnetic moment comes out at 0.00 μB per formula unit. The value obtained for the total energy is -177.1 eV per formula unit.

Cell lengths 5.234, 5.234, 4.681 Å; angles 90.00, 90.00, 90.00 degrees
Space group P4/mmm (No. 123)
One atom of each set of equivalent atoms:
Zn  0.000  0.000  0.000
Te  0.000  0.500  0.500
Pt  0.000  0.000  0.500
Se  0.500  0.500  0.000

14.
Compound: ZnFe2Co
Source: the Alexandria database
Functional: meta-GGA SCAN
Structure: PBEsol geometry

For the formation energy, the calculation gives -0.068 eV per atom. The magnetic moment comes out at 7.03 μB per formula unit. The value obtained for the total energy is -67.4 eV per formula unit.

Cell lengths 2.836, 4.029, 7.967 Å; angles 90.00, 90.00, 90.00 degrees
Space group Imm2 (No. 44)
One atom of each set of equivalent atoms:
Zn  0.000  0.000  0.000
Fe  0.000  0.000  0.503
Fe  0.000  0.500  0.761
Co  0.000  0.500  0.244

15.
Compound: Sr3PdN
Source: the Alexandria database
Functional: meta-GGA SCAN
Structure: PBEsol geometry

The uncorrected formation energy comes out at -2.8 eV/f.u. The magnetic moment comes out at 0.00 μB per formula unit. The value obtained for the total energy is -111.7 eV per formula unit.

Cell lengths 5.089, 5.089, 5.089 Å; angles 90.00, 90.00, 90.00 degrees
Space group Pm-3m (No. 221)
One atom of each set of equivalent atoms:
Sr  0.000  0.000  0.500
Pd  0.500  0.500  0.500
N  0.000  0.000  0.000

16.
Compound: BaBi2Ir2
Source: the Alexandria database
Functional: meta-GGA SCAN
Structure: PBEsol geometry

For the formation energy, the calculation gives -0.157 eV per atom. The magnetic moment comes out at 0.00 μB per formula unit. The value obtained for the total energy is -339.7 eV per formula unit.

Cell lengths 4.298, 4.298, 13.871 Å; angles 90.00, 90.00, 90.00 degrees
Space group I4/mmm (No. 139)
One atom of each set of equivalent atoms:
Ba  0.000  0.000  0.000
Bi  0.000  0.000  0.366
Ir  0.000  0.500  0.250

17.
Compound: TaBeW2
Source: the Alexandria database
Functional: meta-GGA SCAN
Structure: PBEsol geometry

For the formation energy, the calculation gives 0.143 eV per atom. The magnetic moment comes out at 0.00 μB per formula unit. The value obtained for the total energy is -209.7 eV per formula unit.

Cell lengths 3.739, 3.739, 4.224 Å; angles 90.00, 90.00, 90.00 degrees
Space group P4/mmm (No. 123)
One atom of each set of equivalent atoms:
Ta  0.000  0.000  0.000
Be  0.500  0.500  0.000
W  0.000  0.500  0.500

18.
Compound: FeCu2Si
Source: the Alexandria database
Functional: meta-GGA SCAN
Structure: PBEsol geometry

The uncorrected formation energy comes out at -0.1 eV/f.u. The magnetic moment comes out at 2.27 μB per formula unit. The value obtained for the total energy is -58.6 eV per formula unit.

Cell lengths 8.773, 2.560, 4.433 Å; angles 90.00, 115.25, 90.00 degrees
Space group Cm (No. 8)
One atom of each set of equivalent atoms:
Fe  0.000  0.000  0.000
Cu  0.016  0.500  0.517
Cu  0.260  0.500  0.410
Si  0.258  0.000  0.924

19.
Compound: CsH2CO3
Source: the Alexandria database
Functional: meta-GGA SCAN
Structure: PBEsol geometry

The magnetic moment comes out at 0.03 μB per formula unit. The value obtained for the total energy is -83.4 eV per formula unit.

Cell lengths 6.062, 10.800, 6.159 Å; angles 90.00, 110.19, 90.00 degrees
Space group P2_1/c (No. 14)
One atom of each set of equivalent atoms:
Cs  0.112  0.112  0.299
H  0.342  0.641  0.883
H  0.348  0.738  0.079
C  0.474  0.061  0.926
O  0.271  0.105  0.863
O  0.324  0.648  0.038
O  0.350  0.607  0.617

20.
Compound: SiAgPt5
Source: the Alexandria database
Functional: meta-GGA SCAN
Structure: PBEsol geometry

The uncorrected formation energy comes out at -2.4 eV/f.u. The magnetic moment comes out at 0.00 μB per formula unit. The value obtained for the total energy is -394.7 eV per formula unit.

Cell lengths 3.900, 3.900, 7.039 Å; angles 90.00, 90.00, 90.00 degrees
Space group P4/mmm (No. 123)
One atom of each set of equivalent atoms:
Si  0.000  0.000  0.000
Ag  0.500  0.500  0.500
Pt  0.000  0.000  0.500
Pt  0.000  0.500  0.206

21.
Compound: TiSiAs2Pb
Source: the Alexandria database
Functional: meta-GGA SCAN
Structure: PBEsol geometry

The uncorrected formation energy comes out at 7.0 eV/f.u. The magnetic moment comes out at 1.73 μB per formula unit. The value obtained for the total energy is -135.3 eV per formula unit.

Cell lengths 5.265, 5.265, 5.017 Å; angles 90.00, 90.00, 90.00 degrees
Space group P4/mmm (No. 123)
One atom of each set of equivalent atoms:
Ti  0.000  0.000  0.000
Si  0.500  0.500  0.000
As  0.000  0.500  0.500
Pb  0.500  0.500  0.500

22.
Compound: Li2P2Os
Source: the Alexandria database
Functional: meta-GGA SCAN
Structure: PBEsol geometry

For the formation energy, the calculation gives -0.623 eV per atom. The magnetic moment comes out at 0.00 μB per formula unit. The value obtained for the total energy is -100.6 eV per formula unit.

Cell lengths 5.929, 5.929, 3.863 Å; angles 90.00, 90.00, 90.00 degrees
Space group P4/mbm (No. 127)
One atom of each set of equivalent atoms:
Li  0.178  0.322  0.000
P  0.132  0.632  0.500
Os  0.000  0.000  0.500

23.
Compound: CaTa2Hg
Source: the Alexandria database
Functional: meta-GGA SCAN
Structure: PBEsol geometry

For the formation energy, the calculation gives 0.483 eV per atom. The magnetic moment comes out at 0.00 μB per formula unit. The value obtained for the total energy is -209.1 eV per formula unit.

Cell lengths 4.065, 4.065, 9.744 Å; angles 90.00, 90.00, 90.00 degrees
Space group I4/mmm (No. 139)
One atom of each set of equivalent atoms:
Ca  0.000  0.000  0.000
Ta  0.000  0.500  0.250
Hg  0.000  0.000  0.500

24.
Compound: LiV3O8
Source: the Alexandria database
Functional: meta-GGA SCAN
Structure: PBEsol geometry

The uncorrected formation energy comes out at -29.3 eV/f.u. The magnetic moment comes out at 0.00 μB per formula unit. The value obtained for the total energy is -134.0 eV per formula unit.

Cell lengths 12.248, 3.413, 7.151 Å; angles 90.00, 109.88, 90.00 degrees
Space group Cm (No. 8)
One atom of each set of equivalent atoms:
Li  0.000  0.000  0.000
V  0.116  0.500  0.394
V  0.217  0.500  0.950
V  0.415  0.500  0.476
O  0.055  0.500  0.151
O  0.081  0.000  0.446
O  0.171  0.000  0.994
O  0.193  0.500  0.707
O  0.261  0.500  0.391
O  0.358  0.500  0.063
O  0.440  0.000  0.414
O  0.447  0.500  0.712

25.
Compound: CaBeCo
Source: the Alexandria database
Functional: meta-GGA SCAN
Structure: PBEsol geometry

For the formation energy, the calculation gives 0.809 eV per atom. The magnetic moment comes out at 0.69 μB per formula unit. The value obtained for the total energy is -28.9 eV per formula unit.

Cell lengths 5.888, 5.888, 5.888 Å; angles 90.00, 90.00, 90.00 degrees
Space group F-43m (No. 216)
One atom of each set of equivalent atoms:
Ca  0.000  0.000  0.000
Be  0.000  0.000  0.500
Co  0.250  0.250  0.250